Record 1
# Tm5IrPt4 (PBE, optimized geometry)
data_Tm5IrPt4
_chemical_formula_sum 'Tm5 Ir1 Pt4'
_cell_length_a 3.4141
_cell_length_b 3.4141
_cell_length_c 17.3902
_cell_angle_alpha 90.00
_cell_angle_beta 90.00
_cell_angle_gamma 90.00
_symmetry_space_group_name_H-M 'P 4/m m m'
_symmetry_Int_Tables_number 123
_symmetry_space_group_name_Hall '-P 4 2'
loop_
_atom_site_label
_atom_site_type_symbol
_atom_site_fract_x
_atom_site_fract_y
_atom_site_fract_z
Tm1 Tm 0.0000 0.0000 0.0000
Tm2 Tm 0.0000 0.0000 0.2015
Tm3 Tm 0.0000 0.0000 0.4042
Ir1 Ir 0.5000 0.5000 0.5000
Pt1 Pt 0.5000 0.5000 0.1011
Pt2 Pt 0.5000 0.5000 0.3017
# - total DFT energy (no corrections) (eV for the cell shown) = -67.5
# - calculated volume (Å³/cell) = 202.70
# - formation energy from the elements (meV/atom) = -1211



Record 2
# NbRhC3 (PBE, optimized geometry)
data_NbRhC3
_chemical_formula_sum 'Nb1 Rh1 C3'
_cell_length_a 3.9186
_cell_length_b 3.9186
_cell_length_c 3.9186
_cell_angle_alpha 90.00
_cell_angle_beta 90.00
_cell_angle_gamma 90.00
_symmetry_space_group_name_H-M 'P m -3 m'
_symmetry_Int_Tables_number 221
_symmetry_space_group_name_Hall '-P 4 2 3'
loop_
_atom_site_label
_atom_site_type_symbol
_atom_site_fract_x
_atom_site_fract_y
_atom_site_fract_z
Nb1 Nb 0.0000 0.0000 0.0000
Rh1 Rh 0.5000 0.5000 0.5000
C1 C 0.0000 0.5000 0.5000
# - total DFT energy (no corrections) (eV for the cell shown) = -34.5
# - calculated volume (Å³/cell) = 60.17
# - formation energy from the elements (meV/atom) = 2126



Record 3
# Ti3TlSi (PBE, optimized geometry)
data_Ti3TlSi
_chemical_formula_sum 'Ti3 Tl1 Si1'
_cell_length_a 5.0250
_cell_length_b 5.0250
_cell_length_c 5.0250
_cell_angle_alpha 90.00
_cell_angle_beta 90.00
_cell_angle_gamma 90.00
_symmetry_space_group_name_H-M 'P m -3 m'
_symmetry_Int_Tables_number 221
_symmetry_space_group_name_Hall '-P 4 2 3'
loop_
_atom_site_label
_atom_site_type_symbol
_atom_site_fract_x
_atom_site_fract_y
_atom_site_fract_z
Ti1 Ti 0.0000 0.0000 0.5000
Tl1 Tl 0.0000 0.0000 0.0000
Si1 Si 0.5000 0.5000 0.5000
# - E_form (uncorrected) (eV/atom) = 1.34
# - total DFT energy (no corrections) (eV for the cell shown) = -24.7
# - calculated volume (Å³/cell) = 126.88



Record 4
# La4TaAg (PBE, optimized geometry)
data_La4TaAg
_chemical_formula_sum 'La16 Ta4 Ag4'
_cell_length_a 8.9565
_cell_length_b 8.9565
_cell_length_c 8.9565
_cell_angle_alpha 90.00
_cell_angle_beta 90.00
_cell_angle_gamma 90.00
_symmetry_space_group_name_H-M 'F -4 3 m'
_symmetry_Int_Tables_number 216
_symmetry_space_group_name_Hall 'F -4 2 3'
loop_
_atom_site_label
_atom_site_type_symbol
_atom_site_fract_x
_atom_site_fract_y
_atom_site_fract_z
La1 La 0.1238 0.1238 0.1238
Ta1 Ta 0.2500 0.2500 0.7500
Ag1 Ag 0.0000 0.0000 0.5000
# - total DFT energy (no corrections) (eV for the cell shown) = -118.5
# - calculated volume (Å³/cell) = 718.47
# - formation energy from the elements (meV/atom) = 797



Record 5
# K2RbNaZn (PBE, optimized geometry)
data_K2RbNaZn
_chemical_formula_sum 'K2 Rb1 Na1 Zn1'
_cell_length_a 6.6700
_cell_length_b 6.6700
_cell_length_c 6.9084
_cell_angle_alpha 90.00
_cell_angle_beta 90.00
_cell_angle_gamma 90.00
_symmetry_space_group_name_H-M 'P 4/m m m'
_symmetry_Int_Tables_number 123
_symmetry_space_group_name_Hall '-P 4 2'
loop_
_atom_site_label
_atom_site_type_symbol
_atom_site_fract_x
_atom_site_fract_y
_atom_site_fract_z
K1 K 0.0000 0.5000 0.0000
Rb1 Rb 0.0000 0.0000 0.5000
Na1 Na 0.5000 0.5000 0.5000
Zn1 Zn 0.0000 0.0000 0.0000
# - total DFT energy (no corrections) (eV for the cell shown) = -5.0
# - calculated volume (Å³/cell) = 307.35
# - formation energy from the elements (meV/atom) = 161



Record 6
# NiTeP2Pb (PBE, optimized geometry)
data_NiTeP2Pb
_chemical_formula_sum 'Ni1 Te1 P2 Pb1'
_cell_length_a 4.3971
_cell_length_b 4.3971
_cell_length_c 5.7923
_cell_angle_alpha 90.00
_cell_angle_beta 90.00
_cell_angle_gamma 90.00
_symmetry_space_group_name_H-M 'P 4/m m m'
_symmetry_Int_Tables_number 123
_symmetry_space_group_name_Hall '-P 4 2'
loop_
_atom_site_label
_atom_site_type_symbol
_atom_site_fract_x
_atom_site_fract_y
_atom_site_fract_z
Ni1 Ni 0.0000 0.0000 0.0000
Te1 Te 0.5000 0.5000 0.5000
P1 P 0.0000 0.5000 0.0000
Pb1 Pb 0.0000 0.0000 0.5000
# - E_form (uncorrected) (eV/atom) = 0.31
# - total DFT energy (no corrections) (eV for the cell shown) = -21.9
# - calculated volume (Å³/cell) = 111.99



Record 7
# SiRh3Se (PBE, optimized geometry)
data_SiRh3Se
_chemical_formula_sum 'Si1 Rh3 Se1'
_cell_length_a 4.5689
_cell_length_b 4.5689
_cell_length_c 4.5689
_cell_angle_alpha 90.00
_cell_angle_beta 90.00
_cell_angle_gamma 90.00
_symmetry_space_group_name_H-M 'P m -3 m'
_symmetry_Int_Tables_number 221
_symmetry_space_group_name_Hall '-P 4 2 3'
loop_
_atom_site_label
_atom_site_type_symbol
_atom_site_fract_x
_atom_site_fract_y
_atom_site_fract_z
Si1 Si 0.0000 0.0000 0.0000
Rh1 Rh 0.0000 0.5000 0.5000
Se1 Se 0.5000 0.5000 0.5000
# - E_form (uncorrected) (eV/atom) = 0.71
# - total DFT energy (no corrections) (eV for the cell shown) = -27.4
# - calculated volume (Å³/cell) = 95.37



Record 8
# TlPd15Pb4 (PBE, optimized geometry)
data_TlPd15Pb4
_chemical_formula_sum 'Tl1 Pd15 Pb4'
_cell_length_a 4.1028
_cell_length_b 4.1028
_cell_length_c 20.5365
_cell_angle_alpha 90.00
_cell_angle_beta 90.00
_cell_angle_gamma 90.00
_symmetry_space_group_name_H-M 'P 4/m m m'
_symmetry_Int_Tables_number 123
_symmetry_space_group_name_Hall '-P 4 2'
loop_
_atom_site_label
_atom_site_type_symbol
_atom_site_fract_x
_atom_site_fract_y
_atom_site_fract_z
Tl1 Tl 0.0000 0.0000 0.0000
Pd1 Pd 0.0000 0.5000 0.0995
Pd2 Pd 0.0000 0.5000 0.2996
Pd3 Pd 0.0000 0.5000 0.5000
Pd4 Pd 0.5000 0.5000 0.0000
Pd5 Pd 0.5000 0.5000 0.2004
Pd6 Pd 0.5000 0.5000 0.4000
Pb1 Pb 0.0000 0.0000 0.1981
Pb2 Pb 0.0000 0.0000 0.3994
# - total DFT energy (no corrections) (eV for the cell shown) = -100.5
# - calculated volume (Å³/cell) = 345.70
# - formation energy from the elements (meV/atom) = -269



Record 9
# ZrSn2PtCl (PBE, optimized geometry)
data_ZrSn2PtCl
_chemical_formula_sum 'Zr1 Sn2 Pt1 Cl1'
_cell_length_a 5.2269
_cell_length_b 5.2269
_cell_length_c 4.8364
_cell_angle_alpha 90.00
_cell_angle_beta 90.00
_cell_angle_gamma 90.00
_symmetry_space_group_name_H-M 'P 4/m m m'
_symmetry_Int_Tables_number 123
_symmetry_space_group_name_Hall '-P 4 2'
loop_
_atom_site_label
_atom_site_type_symbol
_atom_site_fract_x
_atom_site_fract_y
_atom_site_fract_z
Zr1 Zr 0.0000 0.0000 0.0000
Sn1 Sn 0.0000 0.5000 0.5000
Pt1 Pt 0.5000 0.5000 0.5000
Cl1 Cl 0.5000 0.5000 0.0000
# - E_form (uncorrected) (eV/atom) = 0.35
# - total DFT energy (no corrections) (eV for the cell shown) = -22.7
# - calculated volume (Å³/cell) = 132.13



Record 10
# CeMgAl2Zn4 (PBE, optimized geometry)
data_CeMgAl2Zn4
_chemical_formula_sum 'Ce3 Mg3 Al6 Zn12'
_cell_length_a 4.4608
_cell_length_b 4.4608
_cell_length_c 25.3801
_cell_angle_alpha 90.00
_cell_angle_beta 90.00
_cell_angle_gamma 120.00
_symmetry_space_group_name_H-M 'R -3 m'
_symmetry_Int_Tables_number 166
_symmetry_space_group_name_Hall '-R 3 2"'
loop_
_atom_site_label
_atom_site_type_symbol
_atom_site_fract_x
_atom_site_fract_y
_atom_site_fract_z
Ce1 Ce 0.0000 0.0000 0.0000
Mg1 Mg 0.0000 0.0000 0.5000
Al1 Al 0.0000 0.0000 0.2459
Zn1 Zn 0.0000 0.0000 0.1282
Zn2 Zn 0.0000 0.0000 0.3930
# - total DFT energy (no corrections) (eV for the cell shown) = -64.3
# - calculated volume (Å³/cell) = 437.37
# - formation energy from the elements (meV/atom) = -166



Record 11
# Rb2Sc2S (PBE, optimized geometry)
data_Rb2Sc2S
_chemical_formula_sum 'Rb4 Sc4 S2'
_cell_length_a 6.9251
_cell_length_b 6.9251
_cell_length_c 7.1572
_cell_angle_alpha 90.00
_cell_angle_beta 90.00
_cell_angle_gamma 90.00
_symmetry_space_group_name_H-M 'P 4/m b m'
_symmetry_Int_Tables_number 127
_symmetry_space_group_name_Hall '-P 4 2ab'
loop_
_atom_site_label
_atom_site_type_symbol
_atom_site_fract_x
_atom_site_fract_y
_atom_site_fract_z
Rb1 Rb 0.1974 0.3026 0.0000
Sc1 Sc 0.1664 0.6664 0.5000
S1 S 0.0000 0.0000 0.5000
# - E_form (uncorrected) (eV/atom) = -0.16
# - total DFT energy (no corrections) (eV for the cell shown) = -39.0
# - calculated volume (Å³/cell) = 343.24



Record 12
# Pm12Pb3O5 (PBE, optimized geometry)
data_Pm12Pb3O5
_chemical_formula_sum 'Pm96 Pb24 O40'
_cell_length_a 16.1424
_cell_length_b 16.1424
_cell_length_c 16.1424
_cell_angle_alpha 90.00
_cell_angle_beta 90.00
_cell_angle_gamma 90.00
_symmetry_space_group_name_H-M 'I a -3 d'
_symmetry_Int_Tables_number 230
_symmetry_space_group_name_Hall '-I 4bd 2c 3'
loop_
_atom_site_label
_atom_site_type_symbol
_atom_site_fract_x
_atom_site_fract_y
_atom_site_fract_z
Pm1 Pm 0.0404 0.0483 0.6471
Pb1 Pb 0.0000 0.2500 0.1250
O1 O 0.0000 0.0000 0.0000
O2 O 0.0000 0.2500 0.3750
# - E_form (uncorrected) (eV/atom) = -1.54
# - total DFT energy (no corrections) (eV for the cell shown) = -989.3
# - calculated volume (Å³/cell) = 4206.37